Entry from the Alexandria database: ScMo3Pt after structural relaxation (PBE-GGA).

Calculated values
- E_tot: -35.67 eV for the cell shown
- M_tot: 0.0 μB/cell
- Energy relative to the lowest polymorph listed for this composition: 0.472 eV per atom
- Formation enthalpy at 0 K: 1838.8 meV/atom

Cell lengths 4.513, 4.513, 4.513 Å; angles 90.00, 90.00, 90.00 degrees
Space group Pm-3m (No. 221)
Asymmetric unit:
Sc 0.000 0.000 0.000
Mo 0.000 0.000 0.500
Pt 0.500 0.500 0.500


Entry from the Alexandria database: ScMoPt2 after structural relaxation (PBE-GGA).

Calculated values
- E_tot: -123.04 eV for the cell shown
- M_tot: 3.7 μB/cell
- Formation enthalpy at 0 K: -379.0 meV/atom

Cell lengths 6.409, 6.409, 6.409 Å; angles 90.00, 90.00, 90.00 degrees
Space group F-43m (No. 216)
Asymmetric unit:
Sc 0.000 0.000 0.000
Mo 0.250 0.250 0.250
Pt 0.000 0.000 0.500
Pt 0.250 0.250 0.750


Entry from the Alexandria database: ScMo3Pt after structural relaxation (PBE-GGA).

Calculated values
- E_tot: -38.03 eV for the cell shown
- M_tot: 0.0 μB/cell
- Energy relative to the lowest polymorph listed for this composition: 0.000 eV per atom
- Formation enthalpy at 0 K: 1367.1 meV/atom

Cell lengths 4.806, 4.806, 4.806 Å; angles 90.00, 90.00, 90.00 degrees
Space group Pm-3m (No. 221)
Asymmetric unit:
Sc 0.000 0.000 0.000
Mo 0.000 0.500 0.500
Pt 0.500 0.500 0.500


Entry from the Alexandria database: ScTiMoPt after structural relaxation (PBE-GGA).

Calculated values
- E_tot: -133.09 eV for the cell shown
- M_tot: 0.0 μB/cell
- Formation enthalpy at 0 K: -543.8 meV/atom

Cell lengths 6.412, 6.412, 6.412 Å; angles 90.00, 90.00, 90.00 degrees
Space group F-43m (No. 216)
Asymmetric unit:
Sc 0.000 0.000 0.000
Ti 0.000 0.000 0.500
Mo 0.250 0.250 0.750
Pt 0.250 0.250 0.250